Entry 1:
Here is a geometry-optimized Sm2Si2GeRh5 structure from Alexandria via LeMat-Bulk. Energies are from PBE.

```
Sm2Si2GeRh5
1.0
-3.1115 -1.3188 -0.8716
3.3130 -1.8226 -9.0691
2.9717 -8.9129 2.8768
Ge Rh Sm Si
2 10 4 4
Direct
0.0000 0.0000 0.0000
0.0000 0.5000 0.5000
0.5000 0.0673 0.7864
0.5000 0.5673 0.7136
0.5000 0.5000 0.0000
0.5000 0.4327 0.2864
0.5000 0.7864 0.9327
0.5000 0.0000 0.5000
0.5000 0.2864 0.5673
0.5000 0.9327 0.2136
0.5000 0.7136 0.4327
0.5000 0.2136 0.0673
0.0000 0.8237 0.6763
0.0000 0.6763 0.1763
0.0000 0.1763 0.3237
0.0000 0.3237 0.8237
0.0000 0.1223 0.6223
0.0000 0.3777 0.1223
0.0000 0.8777 0.3777
0.0000 0.6223 0.8777
```

Results
uncorrected energy = -7.015 eV per atom
total magnetization = 0.0 μB per cell
space group = P4/mbm

Entry 2:
Here is a geometry-optimized Sm2SiGeRh6 structure from Alexandria via LeMat-Bulk. Energies are from PBE.

```
Sm2SiGeRh6
1.0
6.4165 -0.0001 0.0000
-0.0001 6.4171 -0.0001
3.2082 3.2085 4.5351
Sm Si Rh Ge
2 1 6 1
Direct
0.2499 0.7499 0.5003
0.7501 0.2501 0.4997
0.5000 0.5000 0.0000
0.2548 0.2548 0.4904
0.7453 0.7450 0.0000
0.7452 0.2548 0.0000
0.2547 0.2550 0.0000
0.7452 0.7452 0.5096
0.2548 0.7452 0.0000
0.0000 0.0000 0.0000
```

Results
uncorrected energy = -6.891 eV per atom
total magnetization = 0.0 μB per cell
space group = Fm-3m

Entry 3:
Here is a geometry-optimized Sm3Si2GeRh9 structure from Alexandria via LeMat-Bulk. Energies are from PBE.

```
Sm3Si2GeRh9
1.0
-3.1917 5.4707 -0.9543
2.2790 -3.2921 -4.9995
-6.6918 -3.9792 -0.4302
Rh Si Sm Ge
9 2 3 1
Direct
0.1719 0.3437 0.3312
0.5000 0.0000 0.0000
0.0000 0.5000 0.0000
0.5000 0.5000 0.0000
0.8281 0.1719 0.6688
0.6563 0.8281 0.3312
0.3437 0.1719 0.6688
0.8281 0.6563 0.6688
0.1719 0.8281 0.3312
0.6667 0.3333 0.8397
0.3333 0.6667 0.1603
0.3333 0.6667 0.6659
0.6667 0.3333 0.3341
0.0000 0.0000 0.0000
0.0000 0.0000 0.5000
```

Results
uncorrected energy = -6.964 eV per atom
total magnetization = 0.0 μB per cell
space group = P-3m1

Entry 4:
Here is a geometry-optimized Sm2Si3GeRh4 structure from Alexandria via LeMat-Bulk. Energies are from PBE.

```
Sm2Si3GeRh4
1.0
-0.2175 -0.6921 4.1321
3.4996 -2.3048 -0.2018
5.4009 8.0575 1.6340
Sm Rh Si Ge
2 4 3 1
Direct
0.5000 0.0000 0.2550
0.0000 0.5000 0.7450
0.5000 0.5000 0.0000
0.0000 0.5000 0.3691
0.5000 0.0000 0.6309
0.0000 0.0000 0.0000
0.5000 0.0000 0.8729
0.0000 0.0000 0.5000
0.0000 0.5000 0.1271
0.5000 0.5000 0.5000
```

Results
uncorrected energy = -6.984 eV per atom
total magnetization = 0.0 μB per cell
space group = P-4m2

| no. | raw formation energy (meV per atom) |
| --- | --- |
| 1 | -849 |
| 2 | -532 |
| 3 | -578 |
| 4 | -1011 |